# 1
Y3Mg3Hg2Pt after structural relaxation, computed with PBE-GGA.

## Properties
Its space group is P-62m (189). Its mass density is 7.353 g cm⁻³. The total moment comes out at 0.4 μB/cell. Its energy is -35.98 eV per cell.

Geometry as POSCAR:
```
Y3Mg3Hg2Pt
1.0
7.578 0.000 0.000
-3.789 6.563 0.000
0.000 0.000 4.249
Hg Y Mg Pt
2 3 3 1
Cartesian
3.789 2.188 0.000
0.000 4.375 0.000
1.506 2.609 2.125
4.565 0.000 2.125
-2.283 3.954 2.125
1.788 0.000 0.000
-0.894 1.548 0.000
2.895 5.014 0.000
0.000 0.000 2.125
```

***

# 2
PuMgHg after structural relaxation, computed with PBE-GGA.

## Properties
Its space group is F-43m (216). Its mass density is 8.668 g cm⁻³. The total moment comes out at 6.4 μB/cell. Its energy is -15.76 eV per cell.

Geometry as POSCAR:
```
PuMgHg
1.0
0.000 3.555 3.555
3.555 0.000 3.555
3.555 3.555 0.000
Hg Pu Mg
1 1 1
Cartesian
0.000 0.000 0.000
5.332 5.332 5.332
1.777 1.777 1.777
```

***

# 3
Rb2MgHg after structural relaxation, computed with PBE-GGA.

## Properties
Its space group is P-1 (2). Its mass density is 3.733 g cm⁻³. Its energy is -7.87 eV per cell.

Geometry as POSCAR:
```
Rb2MgHg
1.0
6.942 0.000 0.000
-0.475 7.108 0.000
-1.815 -1.891 7.137
Hg Mg Rb
2 2 4
Cartesian
4.564 4.377 5.207
0.087 0.840 1.930
3.171 -1.231 6.905
1.480 6.448 0.232
4.960 4.377 1.143
-0.309 0.840 5.994
3.595 0.905 3.449
1.056 4.312 3.688
```

***

# 4
Rb2Mg2Hg3 after structural relaxation, computed with PBE-GGA.

## Properties
Its space group is R3m (160). Its mass density is 5.541 g cm⁻³. Its energy is -6.52 eV per cell.

Geometry as POSCAR:
```
Rb2Mg2Hg3
1.0
10.222 -2.616 -4.833
8.186 -7.151 -4.067
6.937 -4.490 -8.149
Rb Mg Hg
2 2 3
Cartesian
6.343 -3.568 -4.267
19.130 -10.760 -12.868
0.040 -0.023 -0.027
12.865 -7.236 -8.654
16.527 -9.296 -11.117
8.986 -5.055 -6.045
21.651 -12.178 -14.564
```

***

# 5
MgReTcHg after structural relaxation, computed with PBE-GGA.

## Properties
Its space group is F-43m (216). Its mass density is 12.936 g cm⁻³. The total moment comes out at 0.0 μB/cell. Its energy is -22.91 eV per cell.

Geometry as POSCAR:
```
MgReTcHg
1.0
-3.515 0.583 2.783
-4.218 -0.479 -1.555
-2.489 -3.553 1.273
Mg Tc Hg Re
1 1 1 1
Cartesian
-7.666 -2.588 1.876
-2.555 -0.863 0.625
0.000 0.000 0.000
-5.111 -1.725 1.251
```

***

# 6
MgHgS2 after structural relaxation, computed with PBE-GGA.

## Properties
Its space group is P3m1 (156). Its mass density is 4.828 g cm⁻³. Its energy is -13.16 eV per cell.

Geometry as POSCAR:
```
MgHgS2
1.0
-0.678 -4.064 0.420
3.726 1.366 -1.182
1.905 0.344 6.406
S Mg Hg
2 1 1
Cartesian
3.002 -0.309 1.854
2.433 -1.957 5.410
1.730 -2.084 3.045
2.266 -0.442 -0.621
```

***

# 7
MgHg2S3 after structural relaxation, computed with PBE-GGA.

## Properties
Its space group is Cmcm (63). Its mass density is 5.876 g cm⁻³. Its energy is -31.91 eV per cell.

Geometry as POSCAR:
```
MgHg2S3
1.0
3.683 0.000 0.000
1.842 6.539 0.000
0.000 0.000 12.241
Hg S Mg
4 6 2
Cartesian
0.000 0.000 6.121
0.000 0.000 0.000
3.683 6.304 9.181
1.842 0.235 3.060
1.842 4.479 9.181
1.842 1.531 11.053
1.842 1.531 7.308
3.683 2.060 3.060
3.683 5.008 1.188
3.683 5.008 4.933
3.683 2.753 9.181
1.842 3.786 3.060
```

***

# 8
MgHg2Sb after structural relaxation, computed with PBE-GGA.

## Properties
Its space group is F-43m (216). Its mass density is 9.034 g cm⁻³. Its energy is -6.28 eV per cell.

Geometry as POSCAR:
```
MgHg2Sb
1.0
0.000 3.691 3.691
3.691 0.000 3.691
3.691 3.691 0.000
Sb Hg Mg
1 2 1
Cartesian
3.691 3.691 3.691
5.537 5.537 5.537
0.000 0.000 0.000
1.846 1.846 1.846
```

***

# 9
MgHgSb after structural relaxation, computed with PBE-GGA.

## Properties
Its space group is F-43m (216). Its mass density is 7.280 g cm⁻³. Its energy is -6.30 eV per cell.

Geometry as POSCAR:
```
MgHgSb
1.0
0.000 3.407 3.407
3.407 0.000 3.407
3.407 3.407 0.000
Sb Hg Mg
1 1 1
Cartesian
5.110 5.110 5.110
1.703 1.703 1.703
0.000 0.000 0.000
```

***

# 10
MgScHg6 after structural relaxation, computed with PBE-GGA.

## Properties
Its space group is P-6m2 (187). Its mass density is 11.753 g cm⁻³. The total moment comes out at 0.0 μB/cell. Its energy is -10.82 eV per cell.

Geometry as POSCAR:
```
MgScHg6
1.0
6.496 0.000 0.000
-3.248 5.625 0.000
0.000 0.000 4.921
Hg Sc Mg
6 1 1
Cartesian
3.248 3.791 2.461
1.592 2.831 0.000
4.907 0.917 2.461
-1.592 2.831 0.000
1.589 0.917 2.461
0.000 5.588 0.000
0.000 3.750 2.461
0.000 0.000 0.000
```

***

# 11
Mg6ScHg after structural relaxation, computed with PBE-GGA.

## Properties
Its space group is P-6m2 (187). Its mass density is 3.601 g cm⁻³. The total moment comes out at 0.0 μB/cell. Its energy is -16.27 eV per cell.

Geometry as POSCAR:
```
Mg6ScHg
1.0
-4.259 1.904 -4.449
-1.909 -3.722 4.904
-1.007 4.095 2.716
Mg Hg Sc
6 1 1
Cartesian
-2.305 -2.775 3.329
-4.411 -1.833 1.128
-1.360 -0.933 0.903
-2.224 2.061 0.699
-5.339 1.143 0.929
-4.374 3.023 -1.548
-3.475 0.028 -1.331
-3.196 0.200 3.145
```

***

# 12
Mg5Sc2Hg after structural relaxation, computed with PBE-GGA.

## Properties
Its space group is Amm2 (38). Its mass density is 3.885 g cm⁻³. The total moment comes out at 0.0 μB/cell. Its energy is -21.72 eV per cell.

Geometry as POSCAR:
```
Mg5Sc2Hg
1.0
-0.870 4.781 -1.213
-3.629 0.674 5.258
2.516 1.880 5.604
Mg Hg Sc
5 1 2
Cartesian
-0.622 2.819 1.217
-2.194 1.175 6.203
-2.433 3.167 3.887
0.625 3.767 4.059
0.905 1.783 6.378
-0.920 2.110 8.976
-0.366 0.840 3.572
-1.187 4.116 6.733
```